# Zr4Ti2Rh | the Alexandria database | GGA-PBE | relaxed
data_Zr4Ti2Rh
_chemical_formula_sum 'Zr8 Ti4 Rh2'
_space_group_name_H-M_alt 'I 4/m m m'
_space_group_IT_number 139
_space_group_name_Hall '-I 4 2'
_cell_length_a 5.045
_cell_length_b 5.045
_cell_length_c 13.089
_cell_angle_alpha 90.00
_cell_angle_beta 90.00
_cell_angle_gamma 90.00
loop_
_atom_site_label
_atom_site_type_symbol
_atom_site_fract_x
_atom_site_fract_y
_atom_site_fract_z
Zr1 Zr 0.000 0.000 0.199
Zr2 Zr 0.000 0.500 0.000
Ti1 Ti 0.000 0.000 0.396
Rh1 Rh 0.000 0.000 0.000
# - ΔE_f: 559 meV per atom
# - Mass density: 5.62 g/cm³